# Hf2WO

Hf2WO after structural relaxation (PBE+U, the Alexandria database).

## Properties
Space group   No. 122
Electronic total energy   -8.507 eV/atom

a = 6.3152 Å, b = 6.3152 Å, c = 7.4963 Å
α = 90.00°, β = 90.00°, γ = 90.00°
Atoms (fractional coordinates):
Hf 0.1477 0.2500 0.1250
Hf 0.2500 0.6477 0.3750
Hf 0.2500 0.8523 0.8750
Hf 0.3523 0.2500 0.6250
Hf 0.6477 0.7500 0.6250
Hf 0.7500 0.1477 0.8750
Hf 0.7500 0.3523 0.3750
Hf 0.8523 0.7500 0.1250
W 0.0000 0.0000 0.5000
W 0.0000 0.5000 0.7500
W 0.5000 0.0000 0.2500
W 0.5000 0.5000 0.0000
O 0.0000 0.0000 0.0000
O 0.0000 0.5000 0.2500
O 0.5000 0.0000 0.7500
O 0.5000 0.5000 0.5000